BaWO4 | meta-GGA SCAN | PBEsol geometry

```
BaWO4
1.0
5.629 0.000 0.000
0.000 5.629 0.000
-2.815 -2.815 6.313
O Ba W
8 2 2
Direct
0.201 0.061 0.659
0.792 0.152 0.841
0.848 0.951 0.159
0.311 0.208 0.159
0.939 0.542 0.341
0.458 0.598 0.659
0.402 0.799 0.341
0.049 0.689 0.841
0.500 0.500 0.000
0.750 0.250 0.500
0.000 0.000 0.000
0.250 0.750 0.500
```

Results
Energy above the lowest structure with this stoichiometry   0.000 eV per formula unit
E   -0.9255 Ha/atom
Formation energy without anion corrections   -2.8239 eV/atom
ρ   6.39 g cm⁻³